No. 1
Here is a relaxed LaP2Pt crystal from Alexandria via LeMat-Bulk. Energies are from PBE.

calculated volume = 21.6 Å³ per atom
relative energy among the computed polymorphs = 107 meV/atom
final energy = -6.35 eV/atom
calculated formation energy = -0.90 eV/atom
size of the total moment = 0.0 μB/f.u.

Cell and atoms, written as CIF:
```
data_LaP2Pt
_chemical_formula_sum 'La1 P2 Pt1'
_cell_length_a 4.317
_cell_length_b 4.476
_cell_length_c 4.478
_cell_angle_alpha 90.00
_cell_angle_beta 93.48
_cell_angle_gamma 90.00
_symmetry_space_group_name_H-M 'P 1'
_symmetry_Int_Tables_number 1
loop_
_symmetry_equiv_pos_as_xyz
'x,y,z'
loop_
_atom_site_label
_atom_site_fract_x
_atom_site_fract_y
_atom_site_fract_z
La1 0.000 0.000 0.000
P1 0.517 0.000 0.465
P2 0.560 0.500 0.155
Pt1 0.403 0.500 0.653
```

***

No. 2
Here is a relaxed ZrTcPb crystal from Alexandria via LeMat-Bulk. Energies are from PBE.

calculated volume = 24.2 Å³ per atom
relative energy among the computed polymorphs = 672 meV/atom
final energy = -6.80 eV/atom
calculated formation energy = 0.74 eV/atom
size of the total moment = 0.0 μB/f.u.

Cell and atoms, written as CIF:
```
data_ZrTcPb
_chemical_formula_sum 'Zr4 Tc4 Pb4'
_cell_length_a 6.619
_cell_length_b 6.619
_cell_length_c 6.619
_cell_angle_alpha 90.00
_cell_angle_beta 90.00
_cell_angle_gamma 90.00
_symmetry_space_group_name_H-M 'P 1'
_symmetry_Int_Tables_number 1
loop_
_symmetry_equiv_pos_as_xyz
'x,y,z'
loop_
_atom_site_label
_atom_site_fract_x
_atom_site_fract_y
_atom_site_fract_z
Zr1 0.000 0.000 0.000
Zr2 0.000 0.500 0.500
Zr3 0.500 0.000 0.500
Zr4 0.500 0.500 0.000
Tc1 0.250 0.250 0.750
Tc2 0.250 0.750 0.250
Tc3 0.750 0.250 0.250
Tc4 0.750 0.750 0.750
Pb1 0.250 0.250 0.250
Pb2 0.250 0.750 0.750
Pb3 0.750 0.250 0.750
Pb4 0.750 0.750 0.250
```

***

No. 3
Here is a relaxed LiCa2SiNi crystal from Alexandria via LeMat-Bulk. Energies are from PBE.

calculated volume = 25.6 Å³ per atom
final energy = -3.60 eV/atom
raw formation energy = -0.18 eV/atom
size of the total moment = 0.0 μB/f.u.

Cell and atoms, written as CIF:
```
data_LiCa2SiNi
_chemical_formula_sum 'Li1 Ca2 Si1 Ni1'
_cell_length_a 5.423
_cell_length_b 5.423
_cell_length_c 4.347
_cell_angle_alpha 90.00
_cell_angle_beta 90.00
_cell_angle_gamma 90.00
_symmetry_space_group_name_H-M 'P 1'
_symmetry_Int_Tables_number 1
loop_
_symmetry_equiv_pos_as_xyz
'x,y,z'
loop_
_atom_site_label
_atom_site_fract_x
_atom_site_fract_y
_atom_site_fract_z
Li1 0.000 0.000 0.000
Ca1 0.000 0.500 0.500
Ca2 0.500 0.000 0.500
Si1 0.500 0.500 0.000
Ni1 0.500 0.500 0.500
```

***

No. 4
Here is a relaxed BW2Se crystal from Alexandria via LeMat-Bulk. Energies are from PBE.

calculated volume = 14.3 Å³ per atom
relative energy among the computed polymorphs = 86 meV/atom
final energy = -9.06 eV/atom
raw formation energy = -0.04 eV/atom
size of the total moment = 0.0 μB/f.u.

Cell and atoms, written as CIF:
```
data_BW2Se
_chemical_formula_sum 'B3 W6 Se3'
_cell_length_a 3.214
_cell_length_b 3.214
_cell_length_c 19.243
_cell_angle_alpha 90.00
_cell_angle_beta 90.00
_cell_angle_gamma 120.00
_symmetry_space_group_name_H-M 'P 1'
_symmetry_Int_Tables_number 1
loop_
_symmetry_equiv_pos_as_xyz
'x,y,z'
loop_
_atom_site_label
_atom_site_fract_x
_atom_site_fract_y
_atom_site_fract_z
B1 0.000 0.000 0.000
B2 0.333 0.667 0.667
B3 0.667 0.333 0.333
W1 0.000 0.000 0.275
W2 0.000 0.000 0.725
W3 0.333 0.667 0.392
W4 0.333 0.667 0.941
W5 0.667 0.333 0.059
W6 0.667 0.333 0.608
Se1 0.000 0.000 0.500
Se2 0.333 0.667 0.167
Se3 0.667 0.333 0.833
```

***

No. 5
Here is a relaxed Pm2Sm2YHo2 crystal from Alexandria via LeMat-Bulk. Energies are from PBE.

calculated volume = 32.9 Å³ per atom
final energy = -4.92 eV/atom
calculated formation energy = 0.02 eV/atom
size of the total moment = 0.0 μB/f.u.

Cell and atoms, written as CIF:
```
data_Pm2Sm2YHo2
_chemical_formula_sum 'Pm4 Sm4 Y2 Ho4'
_cell_length_a 11.380
_cell_length_b 5.086
_cell_length_c 8.043
_cell_angle_alpha 90.00
_cell_angle_beta 98.21
_cell_angle_gamma 90.00
_symmetry_space_group_name_H-M 'P 1'
_symmetry_Int_Tables_number 1
loop_
_symmetry_equiv_pos_as_xyz
'x,y,z'
loop_
_atom_site_label
_atom_site_fract_x
_atom_site_fract_y
_atom_site_fract_z
Pm1 0.143 0.000 0.429
Pm2 0.357 0.500 0.571
Pm3 0.643 0.500 0.429
Pm4 0.857 0.000 0.571
Sm1 0.072 0.500 0.717
Sm2 0.428 0.000 0.283
Sm3 0.572 0.000 0.717
Sm4 0.928 0.500 0.283
Y1 0.000 0.000 0.000
Y2 0.500 0.500 0.000
Ho1 0.215 0.500 0.141
Ho2 0.285 0.000 0.859
Ho3 0.715 0.000 0.141
Ho4 0.785 0.500 0.859
```

***

No. 6
Here is a relaxed Ti2NbRh3 crystal from Alexandria via LeMat-Bulk. Energies are from PBE.

calculated volume = 15.3 Å³ per atom
final energy = -8.63 eV/atom
calculated formation energy = -0.65 eV/atom
size of the total moment = 0.0 μB/f.u.

Cell and atoms, written as CIF:
```
data_Ti2NbRh3
_chemical_formula_sum 'Ti2 Nb1 Rh3'
_cell_length_a 2.938
_cell_length_b 2.938
_cell_length_c 10.648
_cell_angle_alpha 90.00
_cell_angle_beta 90.00
_cell_angle_gamma 90.00
_symmetry_space_group_name_H-M 'P 1'
_symmetry_Int_Tables_number 1
loop_
_symmetry_equiv_pos_as_xyz
'x,y,z'
loop_
_atom_site_label
_atom_site_fract_x
_atom_site_fract_y
_atom_site_fract_z
Ti1 0.000 0.000 0.161
Ti2 0.000 0.000 0.839
Nb1 0.000 0.000 0.500
Rh1 0.500 0.500 0.000
Rh2 0.500 0.500 0.313
Rh3 0.500 0.500 0.687
```

***

No. 7
Here is a relaxed ThPd3Au3 crystal from Alexandria via LeMat-Bulk. Energies are from PBE.

calculated volume = 19.1 Å³ per atom
relative energy among the computed polymorphs = 54 meV/atom
final energy = -5.13 eV/atom
calculated formation energy = -0.44 eV/atom
size of the total moment = 0.0 μB/f.u.

Cell and atoms, written as CIF:
```
data_ThPd3Au3
_chemical_formula_sum 'Th2 Pd6 Au6'
_cell_length_a 7.836
_cell_length_b 7.836
_cell_length_c 5.026
_cell_angle_alpha 90.00
_cell_angle_beta 90.00
_cell_angle_gamma 120.00
_symmetry_space_group_name_H-M 'P 1'
_symmetry_Int_Tables_number 1
loop_
_symmetry_equiv_pos_as_xyz
'x,y,z'
loop_
_atom_site_label
_atom_site_fract_x
_atom_site_fract_y
_atom_site_fract_z
Th1 0.333 0.667 0.250
Th2 0.667 0.333 0.750
Pd1 0.049 0.808 0.250
Pd2 0.192 0.241 0.250
Pd3 0.241 0.049 0.750
Pd4 0.759 0.951 0.250
Pd5 0.808 0.759 0.750
Pd6 0.951 0.192 0.750
Au1 0.098 0.644 0.750
Au2 0.356 0.454 0.750
Au3 0.454 0.098 0.250
Au4 0.546 0.902 0.750
Au5 0.644 0.546 0.250
Au6 0.902 0.356 0.250
```

***

No. 8
Here is a relaxed LiFeRu crystal from Alexandria via LeMat-Bulk. Energies are from PBE.

calculated volume = 13.5 Å³ per atom
relative energy among the computed polymorphs = 0 meV/atom
final energy = -6.30 eV/atom
calculated formation energy = 0.25 eV/atom
size of the total moment = 2.9 μB/f.u.

Cell and atoms, written as CIF:
```
data_LiFeRu
_chemical_formula_sum 'Li4 Fe4 Ru4'
_cell_length_a 2.842
_cell_length_b 4.309
_cell_length_c 13.263
_cell_angle_alpha 90.00
_cell_angle_beta 90.00
_cell_angle_gamma 90.00
_symmetry_space_group_name_H-M 'P 1'
_symmetry_Int_Tables_number 1
loop_
_symmetry_equiv_pos_as_xyz
'x,y,z'
loop_
_atom_site_label
_atom_site_fract_x
_atom_site_fract_y
_atom_site_fract_z
Li1 0.000 0.000 0.000
Li2 0.000 0.500 0.500
Li3 0.500 0.000 0.500
Li4 0.500 0.500 0.000
Fe1 0.000 0.000 0.328
Fe2 0.000 0.500 0.828
Fe3 0.500 0.000 0.828
Fe4 0.500 0.500 0.328
Ru1 0.000 0.000 0.670
Ru2 0.000 0.500 0.170
Ru3 0.500 0.000 0.170
Ru4 0.500 0.500 0.670
```

***

No. 9
Here is a relaxed PuPd2F8 crystal from Alexandria via LeMat-Bulk. Energies are from PBE.

calculated volume = 16.8 Å³ per atom
final energy = -5.71 eV/atom
raw formation energy = -2.10 eV/atom
size of the total moment = 3.9 μB/f.u.

Cell and atoms, written as CIF:
```
data_PuPd2F8
_chemical_formula_sum 'Pu2 Pd4 F16'
_cell_length_a 7.025
_cell_length_b 7.025
_cell_length_c 7.628
_cell_angle_alpha 96.37
_cell_angle_beta 96.37
_cell_angle_gamma 82.26
_symmetry_space_group_name_H-M 'P 1'
_symmetry_Int_Tables_number 1
loop_
_symmetry_equiv_pos_as_xyz
'x,y,z'
loop_
_atom_site_label
_atom_site_fract_x
_atom_site_fract_y
_atom_site_fract_z
Pu1 0.164 0.836 0.750
Pu2 0.836 0.164 0.250
Pd1 0.354 0.375 0.981
Pd2 0.375 0.354 0.481
Pd3 0.625 0.646 0.519
Pd4 0.646 0.625 0.019
F1 0.104 0.110 0.400
F2 0.110 0.104 0.900
F3 0.144 0.591 0.911
F4 0.176 0.572 0.559
F5 0.283 0.430 0.232
F6 0.409 0.856 0.589
F7 0.428 0.824 0.941
F8 0.430 0.283 0.732
F9 0.570 0.717 0.268
F10 0.572 0.176 0.059
F11 0.591 0.144 0.411
F12 0.717 0.570 0.768
F13 0.824 0.428 0.441
F14 0.856 0.409 0.089
F15 0.890 0.896 0.100
F16 0.896 0.890 0.600
```

***

No. 10
Here is a relaxed CdIn2SeS3 crystal from Alexandria via LeMat-Bulk. Energies are from PBE.

calculated volume = 24.7 Å³ per atom
final energy = -3.76 eV/atom
raw formation energy = -0.58 eV/atom
size of the total moment = 0.0 μB/f.u.

Cell and atoms, written as CIF:
```
data_CdIn2SeS3
_chemical_formula_sum 'Cd2 In4 Se2 S6'
_cell_length_a 7.887
_cell_length_b 7.887
_cell_length_c 7.887
_cell_angle_alpha 120.15
_cell_angle_beta 120.07
_cell_angle_gamma 89.80
_symmetry_space_group_name_H-M 'P 1'
_symmetry_Int_Tables_number 1
loop_
_symmetry_equiv_pos_as_xyz
'x,y,z'
loop_
_atom_site_label
_atom_site_fract_x
_atom_site_fract_y
_atom_site_fract_z
Cd1 0.000 0.000 0.000
Cd2 0.730 0.230 0.500
In1 0.356 0.604 0.752
In2 0.358 0.111 0.754
In3 0.358 0.604 0.246
In4 0.851 0.604 0.248
Se1 0.112 0.850 0.262
Se2 0.588 0.850 0.738
S1 0.120 0.394 0.274
S2 0.120 0.845 0.726
S3 0.135 0.366 0.769
S4 0.596 0.366 0.770
S5 0.596 0.825 0.230
S6 0.597 0.366 0.231
```